! GGA-PBE Dy5Y4Cd, relaxed; values from VASP
! Total DFT energy (no corrections) (eV/atom): -5.023
! Magnetization (μB/cell): 0.00
! ΔE_f (eV/atom): -0.04
&SYSTEM
  ibrav = 0, nat = 10, ntyp = 3
/
ATOMIC_SPECIES
Dy 162.50 Dy.upf
Y 88.91 Y.upf
Cd 112.41 Cd.upf
CELL_PARAMETERS angstrom
3.5664 0.0000 0.0000
0.0000 3.5664 0.0000
0.0000 0.0000 24.2231
ATOMIC_POSITIONS crystal
Dy 0.0000 0.0000 0.0000
Dy 0.0000 0.0000 0.2074
Dy 0.0000 0.0000 0.4146
Dy 0.0000 0.0000 0.5854
Dy 0.0000 0.0000 0.7926
Y 0.5000 0.5000 0.1035
Y 0.5000 0.5000 0.3110
Y 0.5000 0.5000 0.6890
Y 0.5000 0.5000 0.8965
Cd 0.5000 0.5000 0.5000